YEr2Fe6Co3 | PBE | optimized geometry

- ρ (g/cm3) = 8.79
- total magnetization (μB/cell) = 16.26
- E_tot (eV/cell) = -88.40
- formation energy (eV per atom) = -0.136

The structure in CIF format:
```
data_YEr2Fe6Co3
_cell_length_a 8.583
_cell_length_b 8.583
_cell_length_c 8.583
_cell_angle_alpha 34.05
_cell_angle_beta 34.05
_cell_angle_gamma 34.05
_space_group_name_H-M_alt 'P 1'
_space_group_IT_number 1
loop_
_space_group_symop_operation_xyz
'x,y,z'
loop_
_atom_site_label
_atom_site_type_symbol
_atom_site_fract_x
_atom_site_fract_y
_atom_site_fract_z
Y1 Y 0.000 0.000 0.000
Er1 Er 0.142 0.142 0.142
Er2 Er 0.858 0.858 0.858
Fe1 Fe 0.081 0.583 0.583
Fe2 Fe 0.417 0.417 0.919
Fe3 Fe 0.417 0.919 0.417
Fe4 Fe 0.583 0.081 0.583
Fe5 Fe 0.583 0.583 0.081
Fe6 Fe 0.919 0.417 0.417
Co1 Co 0.333 0.333 0.333
Co2 Co 0.500 0.500 0.500
Co3 Co 0.667 0.667 0.667
```

TbSmBr3N | PBE | optimized geometry

- ρ (g/cm3) = 5.40
- total magnetization (μB/cell) = 0.00
- E_tot (eV/cell) = -67.18
- ΔE to the lowest computed polymorph (meV per atom) = 24

The structure in CIF format:
```
data_TbSmBr3N
_cell_length_a 9.414
_cell_length_b 9.414
_cell_length_c 11.702
_cell_angle_alpha 124.21
_cell_angle_beta 124.21
_cell_angle_gamma 24.07
_space_group_name_H-M_alt 'P 1'
_space_group_IT_number 1
loop_
_space_group_symop_operation_xyz
'x,y,z'
loop_
_atom_site_label
_atom_site_type_symbol
_atom_site_fract_x
_atom_site_fract_y
_atom_site_fract_z
Tb1 Tb 0.136 0.136 0.286
Tb2 Tb 0.864 0.864 0.714
Sm1 Sm 0.424 0.424 0.041
Sm2 Sm 0.576 0.576 0.959
Br1 Br 0.035 0.035 0.743
Br2 Br 0.218 0.218 0.124
Br3 Br 0.331 0.331 0.490
Br4 Br 0.669 0.669 0.510
Br5 Br 0.782 0.782 0.876
Br6 Br 0.965 0.965 0.257
N1 N 0.424 0.424 0.844
N2 N 0.576 0.576 0.156
```

Lu2NiB | PBE | optimized geometry

- ρ (g/cm3) = 9.31
- total magnetization (μB/cell) = 0.05
- E_tot (eV/cell) = -42.69
- ΔE to the lowest computed polymorph (meV per atom) = 0

The structure in CIF format:
```
data_Lu2NiB
_cell_length_a 3.558
_cell_length_b 3.558
_cell_length_c 13.643
_cell_angle_alpha 90.00
_cell_angle_beta 90.00
_cell_angle_gamma 120.00
_space_group_name_H-M_alt 'P 1'
_space_group_IT_number 1
loop_
_space_group_symop_operation_xyz
'x,y,z'
loop_
_atom_site_label
_atom_site_type_symbol
_atom_site_fract_x
_atom_site_fract_y
_atom_site_fract_z
Lu1 Lu 0.333 0.667 0.113
Lu2 Lu 0.333 0.667 0.387
Lu3 Lu 0.667 0.333 0.613
Lu4 Lu 0.667 0.333 0.887
Ni1 Ni 0.333 0.667 0.750
Ni2 Ni 0.667 0.333 0.250
B1 B 0.000 0.000 0.000
B2 B 0.000 0.000 0.500
```